The following is a DFT calculation (PBE) of a relaxed MgTlInSe3 crystal. Values from VASP.

```
&SYSTEM
  ibrav = 0, nat = 12, ntyp = 4
/
ATOMIC_SPECIES
Mg 24.30 Mg.upf
Tl 204.38 Tl.upf
In 114.82 In.upf
Se 78.96 Se.upf
ATOMIC_POSITIONS angstrom
Mg 1.0696 1.0076 0.9468
Mg 2.9776 3.0227 9.8486
Tl -1.2724 3.0227 7.8691
Tl 5.3196 1.0076 2.9263
In 1.5969 3.0227 3.8529
In 2.4503 1.0076 6.9424
Se -3.2884 1.0076 9.1612
Se 0.3527 1.0076 5.0295
Se 2.8648 3.0227 1.6228
Se 1.1824 1.0076 9.1726
Se 3.6945 3.0227 5.7659
Se 7.3356 3.0227 1.6342
CELL_PARAMETERS angstrom
8.0532 0.0000 0.0000
0.0000 4.0302 0.0000
-4.0060 0.0000 10.7954
```

Summary:
**Final energy**: -3.562 eV/atom
**Volume**: 350.38 Å³ per cell
**Mass density**: 5.50 g/cm³
**Formation energy without anion corrections**: -0.70 eV/atom
**SG**: P2_1/m (11)


The following is a DFT calculation (PBE) of a relaxed SiNi2Pt crystal. Values from VASP.

```
&SYSTEM
  ibrav = 0, nat = 16, ntyp = 3
/
ATOMIC_SPECIES
Si 28.09 Si.upf
Ni 58.69 Ni.upf
Pt 195.08 Pt.upf
ATOMIC_POSITIONS angstrom
Si 0.0000 0.0000 0.0000
Si 0.0000 2.9139 2.9139
Si 2.9139 0.0000 2.9139
Si 2.9139 2.9139 0.0000
Ni 0.0000 0.0000 2.9139
Ni 0.0000 2.9139 0.0000
Ni 1.4570 1.4570 4.3709
Ni 1.4570 4.3709 1.4570
Ni 2.9139 0.0000 0.0000
Ni 2.9139 2.9139 2.9139
Ni 4.3709 1.4570 1.4570
Ni 4.3709 4.3709 4.3709
Pt 1.4570 1.4570 1.4570
Pt 1.4570 4.3709 4.3709
Pt 4.3709 1.4570 4.3709
Pt 4.3709 4.3709 1.4570
CELL_PARAMETERS angstrom
5.8278 0.0000 0.0000
0.0000 5.8278 0.0000
0.0000 0.0000 5.8278
```

Summary:
**Final energy**: -6.104 eV/atom
**Volume**: 197.93 Å³ per cell
**Mass density**: 11.43 g/cm³
**Formation energy without anion corrections**: -0.35 eV/atom
**SG**: F-43m (216)


The following is a DFT calculation (PBE) of a relaxed Li12CdIn3 crystal. Values from VASP.

```
&SYSTEM
  ibrav = 0, nat = 16, ntyp = 3
/
ATOMIC_SPECIES
Li 6.94 Li.upf
Cd 112.41 Cd.upf
In 114.82 In.upf
ATOMIC_POSITIONS angstrom
Li 0.0000 0.0000 0.0000
Li 0.0000 0.0000 4.3550
Li 0.0000 0.0000 8.7778
Li 0.0000 0.0000 13.2005
Li 0.0000 2.0680 2.1693
Li 0.0000 2.0680 6.5519
Li 0.0000 2.0680 11.0036
Li 0.0000 2.0680 15.3862
Li 2.0680 0.0000 2.1693
Li 2.0680 0.0000 6.5519
Li 2.0680 0.0000 11.0036
Li 2.0680 0.0000 15.3862
Cd 2.0680 2.0680 0.0000
In 2.0680 2.0680 4.3677
In 2.0680 2.0680 8.7778
In 2.0680 2.0680 13.1878
CELL_PARAMETERS angstrom
4.1361 0.0000 0.0000
0.0000 4.1361 0.0000
0.0000 0.0000 17.5555
```

Summary:
**Final energy**: -2.196 eV/atom
**Volume**: 300.32 Å³ per cell
**ΔH_f (0 K)**: -190 meV per atom
**Mass density**: 2.99 g/cm³
**SG**: P4/mmm (123)


The following is a DFT calculation (PBE) of a relaxed Cu2SiIr crystal. Values from VASP.

```
&SYSTEM
  ibrav = 0, nat = 4, ntyp = 3
/
ATOMIC_SPECIES
Cu 63.55 Cu.upf
Si 28.09 Si.upf
Ir 192.22 Ir.upf
ATOMIC_POSITIONS angstrom
Cu 0.0000 0.0000 0.0000
Cu 1.4267 1.7056 1.0885
Si 1.4267 1.7056 3.8129
Ir 0.0000 0.0000 2.6971
CELL_PARAMETERS angstrom
2.8534 0.0000 0.0000
0.0000 3.4112 0.0000
0.0000 0.0000 5.2959
```

Summary:
**Final energy**: -5.799 eV/atom
**Volume**: 51.55 Å³ per cell
**Mass density**: 11.19 g/cm³
**Formation energy without anion corrections**: -0.18 eV/atom
**SG**: Pmm2 (25)


The following is a DFT calculation (PBE) of a relaxed CaAg2Ir crystal. Values from VASP.

```
&SYSTEM
  ibrav = 0, nat = 4, ntyp = 3
/
ATOMIC_SPECIES
Ca 40.08 Ca.upf
Ag 107.87 Ag.upf
Ir 192.22 Ir.upf
ATOMIC_POSITIONS angstrom
Ca 0.0000 0.0000 0.0000
Ag 1.4547 2.1369 4.2652
Ag 2.9348 0.0000 2.8953
Ir 1.4712 2.1369 1.4198
CELL_PARAMETERS angstrom
2.9513 0.0000 0.0000
0.0000 4.2737 0.0000
-0.0213 0.0000 6.0098
```

Summary:
**Final energy**: -4.048 eV/atom
**Volume**: 75.80 Å³ per cell
**ΔH_f (0 K)**: 94 meV per atom
**Mass density**: 9.81 g/cm³
**SG**: Pm (6)


The following is a DFT calculation (PBE) of a relaxed NaLa2Gd crystal. Values from VASP.

```
&SYSTEM
  ibrav = 0, nat = 12, ntyp = 3
/
ATOMIC_SPECIES
Na 22.99 Na.upf
La 138.91 La.upf
Gd 157.25 Gd.upf
ATOMIC_POSITIONS angstrom
Na 0.0000 0.0000 0.0000
Na 0.0000 2.1064 24.8756
Na 1.8242 1.0532 12.4378
La 0.0000 0.0000 9.1505
La 0.0000 0.0000 28.1629
La 0.0000 2.1064 15.7251
La 0.0000 2.1064 34.0261
La 1.8242 1.0532 3.2873
La 1.8242 1.0532 21.5883
Gd 0.0000 0.0000 18.6567
Gd 0.0000 2.1064 6.2189
Gd 1.8242 1.0532 31.0945
CELL_PARAMETERS angstrom
3.6483 0.0000 0.0000
-1.8242 3.1595 0.0000
0.0000 0.0000 37.3134
```

Summary:
**Final energy**: -6.243 eV/atom
**Volume**: 430.11 Å³ per cell
**ΔH_f (0 K)**: 70 meV per atom
**Mass density**: 5.31 g/cm³
**SG**: R-3m (166)


The following is a DFT calculation (PBE) of a relaxed Rb2NaTlCd crystal. Values from VASP.

```
&SYSTEM
  ibrav = 0, nat = 5, ntyp = 4
/
ATOMIC_SPECIES
Rb 85.47 Rb.upf
Na 22.99 Na.upf
Tl 204.38 Tl.upf
Cd 112.41 Cd.upf
ATOMIC_POSITIONS angstrom
Rb 0.0000 3.5480 0.0000
Rb 3.5480 0.0000 0.0000
Na 0.0000 0.0000 2.8599
Tl 3.5480 3.5480 2.8599
Cd 3.5480 3.5480 0.0000
CELL_PARAMETERS angstrom
7.0960 0.0000 0.0000
0.0000 7.0960 0.0000
0.0000 0.0000 5.7198
```

Summary:
**Final energy**: -1.198 eV/atom
**Volume**: 288.01 Å³ per cell
**ΔH_f (0 K)**: 109 meV per atom
**Mass density**: 2.94 g/cm³
**SG**: P4/mmm (123)


The following is a DFT calculation (PBE) of a relaxed ZrRe2Rh crystal. Values from VASP.

```
&SYSTEM
  ibrav = 0, nat = 12, ntyp = 3
/
ATOMIC_SPECIES
Zr 91.22 Zr.upf
Re 186.21 Re.upf
Rh 102.91 Rh.upf
ATOMIC_POSITIONS angstrom
Zr 0.0000 0.0000 0.0000
Zr 0.0000 1.6119 19.2894
Zr 1.3959 0.8059 9.6447
Re 0.0000 0.0000 7.0203
Re 0.0000 0.0000 21.9138
Re 0.0000 1.6119 12.2691
Re 0.0000 1.6119 26.3097
Re 1.3959 0.8059 2.6244
Re 1.3959 0.8059 16.6650
Rh 0.0000 0.0000 14.4671
Rh 0.0000 1.6119 4.8224
Rh 1.3959 0.8059 24.1118
CELL_PARAMETERS angstrom
2.7919 0.0000 0.0000
-1.3959 2.4178 0.0000
0.0000 0.0000 28.9341
```

Summary:
**Final energy**: -10.014 eV/atom
**Volume**: 195.31 Å³ per cell
**ΔH_f (0 K)**: 185 meV per atom
**Mass density**: 14.45 g/cm³
**SG**: R-3m (166)


The following is a DFT calculation (PBE) of a relaxed Ca4Cd5Hg6 crystal. Values from VASP.

```
&SYSTEM
  ibrav = 0, nat = 30, ntyp = 3
/
ATOMIC_SPECIES
Ca 40.08 Ca.upf
Cd 112.41 Cd.upf
Hg 200.59 Hg.upf
ATOMIC_POSITIONS angstrom
Ca 2.0044 11.7724 8.0255
Ca 2.0044 10.9019 12.3929
Ca 2.0044 9.0344 4.3807
Ca 2.0044 7.7415 14.9110
Ca 2.0044 -7.7415 6.8855
Ca 2.0044 -9.0344 12.4062
Ca 2.0044 -10.9019 4.3674
Ca 2.0044 -11.7724 0.0000
Cd 2.0044 7.8818 9.8927
Cd 2.0044 4.7950 9.6063
Cd 2.0044 4.1369 4.2747
Cd 2.0044 3.2286 15.2847
Cd 2.0044 0.8091 10.6217
Cd 2.0044 -0.8091 2.5962
Cd 2.0044 -3.2286 7.2593
Cd 2.0044 -4.1369 12.3002
Cd 2.0044 -4.7950 1.5808
Cd 2.0044 -7.8818 1.8672
Hg 2.0044 9.7288 1.2461
Hg 2.0044 6.8776 7.0284
Hg 2.0044 5.7470 12.3612
Hg 2.0044 2.1139 1.9421
Hg 2.0044 1.9642 6.8411
Hg 2.0044 0.8877 13.5484
Hg 2.0044 -0.8877 5.5229
Hg 2.0044 -1.9642 14.8666
Hg 2.0044 -2.1139 9.9676
Hg 2.0044 -5.7470 4.3357
Hg 2.0044 -6.8776 15.0539
Hg 2.0044 -9.7288 9.2716
CELL_PARAMETERS angstrom
2.0044 -12.2583 0.0000
2.0044 12.2583 0.0000
0.0000 0.0000 16.0510
```

Summary:
**Final energy**: -1.277 eV/atom
**Volume**: 788.75 Å³ per cell
**ΔH_f (0 K)**: -318 meV per atom
**Mass density**: 8.11 g/cm³
**SG**: Cmc2_1 (36)


The following is a DFT calculation (PBE) of a relaxed Ac2AlTcGe6 crystal. Values from VASP.

```
&SYSTEM
  ibrav = 0, nat = 20, ntyp = 4
/
ATOMIC_SPECIES
Ac 227.00 Ac.upf
Al 26.98 Al.upf
Tc 98.00 Tc.upf
Ge 72.64 Ge.upf
ATOMIC_POSITIONS angstrom
Ac 1.6062 0.0083 2.0547
Ac 1.6062 4.3384 2.0547
Ac 4.8187 4.3551 6.2582
Ac 4.8187 8.6852 6.2582
Al 1.6062 2.1734 7.2236
Al 4.8187 6.5201 1.0893
Tc 1.6062 6.5201 5.6697
Tc 4.8187 2.1734 2.6432
Ge 0.2198 2.1734 4.3484
Ge 0.3764 6.5201 7.9023
Ge 1.6062 0.3121 5.5216
Ge 1.6062 4.0347 5.5216
Ge 2.8360 6.5201 7.9023
Ge 2.9927 2.1734 4.3484
Ge 3.4322 6.5201 3.9645
Ge 3.5889 2.1734 0.4106
Ge 4.8187 4.6588 2.7913
Ge 4.8187 8.3815 2.7913
Ge 6.0485 2.1734 0.4106
Ge 6.2052 6.5201 3.9645
CELL_PARAMETERS angstrom
6.4249 0.0000 0.0000
0.0000 8.6935 0.0000
0.0000 0.0000 8.3129
```

Summary:
**Final energy**: -5.330 eV/atom
**Volume**: 464.32 Å³ per cell
**ΔH_f (0 K)**: -327 meV per atom
**Mass density**: 7.26 g/cm³
**SG**: Pmmn (59)


The following is a DFT calculation (PBE) of a relaxed Zr2Zn3Ga3 crystal. Values from VASP.

```
&SYSTEM
  ibrav = 0, nat = 8, ntyp = 3
/
ATOMIC_SPECIES
Zr 91.22 Zr.upf
Zn 65.41 Zn.upf
Ga 69.72 Ga.upf
ATOMIC_POSITIONS angstrom
Zr 0.0000 0.0000 1.9830
Zr 0.0000 0.0000 6.0689
Zn 0.0000 2.0650 4.0259
Zn 2.0294 2.0650 2.0786
Zn 2.0294 2.0650 5.9733
Ga 0.0000 2.0650 0.0000
Ga 2.0294 0.0000 0.0000
Ga 2.0294 0.0000 4.0259
CELL_PARAMETERS angstrom
4.0588 0.0000 0.0000
0.0000 4.1300 0.0000
0.0000 0.0000 8.0519
```

Summary:
**Final energy**: -4.216 eV/atom
**Volume**: 134.97 Å³ per cell
**ΔH_f (0 K)**: -466 meV per atom
**Mass density**: 7.23 g/cm³
**SG**: Pmmm (47)


The following is a DFT calculation (PBE) of a relaxed LaPu2Au4 crystal. Values from VASP.

```
&SYSTEM
  ibrav = 0, nat = 14, ntyp = 3
/
ATOMIC_SPECIES
La 138.91 La.upf
Pu 244.00 Pu.upf
Au 196.97 Au.upf
ATOMIC_POSITIONS angstrom
La 0.0000 0.0000 0.0000
La 2.3357 2.3357 8.3658
Pu 0.0000 0.0000 4.2048
Pu 0.0000 0.0000 12.5269
Pu 2.3357 2.3357 4.1611
Pu 2.3357 2.3357 12.5706
Au 0.0000 2.3357 2.0988
Au 0.0000 2.3357 6.2671
Au 0.0000 2.3357 10.4646
Au 0.0000 2.3357 14.6329
Au 2.3357 0.0000 2.0988
Au 2.3357 0.0000 6.2671
Au 2.3357 0.0000 10.4646
Au 2.3357 0.0000 14.6329
CELL_PARAMETERS angstrom
4.6713 0.0000 0.0000
0.0000 4.6713 0.0000
0.0000 0.0000 16.7317
```

Summary:
**Final energy**: -7.102 eV/atom
**Volume**: 365.10 Å³ per cell
**ΔH_f (0 K)**: -431 meV per atom
**Mass density**: 12.87 g/cm³
**SG**: I4/mmm (139)